1.
The following is a GGA-PBE calculation of Zn2InS3 after structural relaxation, from OQMD.

Summary:
space group = Cc
uncorrected energy = -42.03 eV for the cell shown

a = 7.051 Å, b = 7.051 Å, c = 6.894 Å
α = 99.53°, β = 99.53°, γ = 119.98°
Positions (direct):
Zn (0.082, 0.918, 0.500)
Zn (0.245, 0.756, 0.999)
Zn (0.756, 0.245, 0.499)
Zn (0.918, 0.082, 0.000)
In (0.415, 0.595, 0.506)
In (0.595, 0.415, 0.006)
S (0.086, 0.629, 0.632)
S (0.254, 0.454, 0.100)
S (0.454, 0.254, 0.600)
S (0.629, 0.086, 0.132)
S (0.830, 0.993, 0.636)
S (0.993, 0.830, 0.136)



2.
The following is a GGA-PBE calculation of ZrZnInS3 after structural relaxation, from OQMD.

Summary:
space group = Cmcm
uncorrected energy = -60.13 eV for the cell shown

a = 7.587 Å, b = 7.587 Å, c = 10.025 Å
α = 90.00°, β = 90.00°, γ = 152.23°
Positions (direct):
Zr (0.000, 0.000, 0.000)
Zr (0.000, 0.000, 0.500)
Zn (0.455, 0.545, 0.750)
Zn (0.545, 0.455, 0.250)
In (0.257, 0.743, 0.250)
In (0.743, 0.257, 0.750)
S (0.061, 0.939, 0.750)
S (0.375, 0.625, 0.551)
S (0.375, 0.625, 0.949)
S (0.625, 0.375, 0.051)
S (0.625, 0.375, 0.449)
S (0.939, 0.061, 0.250)



3.
The following is a GGA-PBE calculation of Zr3InS5 after structural relaxation, from OQMD.

Summary:
space group = P6/mmm
uncorrected energy = -58.36 eV for the cell shown

a = 6.094 Å, b = 6.094 Å, c = 7.061 Å
α = 90.00°, β = 90.00°, γ = 120.00°
Positions (direct):
Zr (0.000, 0.500, 0.000)
Zr (0.500, 0.000, 0.000)
Zr (0.500, 0.500, 0.000)
In (0.000, 0.000, 0.500)
S (0.000, 0.000, 0.000)
S (0.333, 0.667, 0.264)
S (0.333, 0.667, 0.736)
S (0.667, 0.333, 0.264)
S (0.667, 0.333, 0.736)



4.
The following is a GGA-PBE calculation of TbInSbTe3 after structural relaxation, from OQMD.

Summary:
space group = Cmcm
uncorrected energy = -48.45 eV for the cell shown

a = 7.678 Å, b = 7.678 Å, c = 12.375 Å
α = 90.00°, β = 90.00°, γ = 147.44°
Positions (direct):
Tb (0.000, 0.000, 0.000)
Tb (0.000, 0.000, 0.500)
In (0.304, 0.696, 0.750)
In (0.696, 0.304, 0.250)
Sb (0.356, 0.644, 0.250)
Sb (0.644, 0.356, 0.750)
Te (0.039, 0.961, 0.250)
Te (0.353, 0.647, 0.007)
Te (0.353, 0.647, 0.493)
Te (0.647, 0.353, 0.507)
Te (0.647, 0.353, 0.993)
Te (0.961, 0.039, 0.750)



5.
The following is a GGA-PBE calculation of InTcSb after structural relaxation, from OQMD.

Summary:
E above lowest polymorph = 0 meV/atom
space group = F-43m

a = 4.555 Å, b = 4.555 Å, c = 4.555 Å
α = 60.00°, β = 60.00°, γ = 60.00°
Positions (direct):
In (0.000, 0.000, 0.000)
Tc (0.250, 0.250, 0.250)
Sb (0.500, 0.500, 0.500)



6.
The following is a GGA-PBE calculation of InTcSb2 after structural relaxation, from OQMD.

Summary:
space group = F-43m
uncorrected energy = -18.93 eV for the cell shown

a = 4.968 Å, b = 4.968 Å, c = 4.968 Å
α = 60.00°, β = 60.00°, γ = 60.00°
Positions (direct):
In (0.000, 0.000, 0.000)
Tc (0.250, 0.250, 0.250)
Sb (0.500, 0.500, 0.500)
Sb (0.750, 0.750, 0.750)



7.
The following is a GGA-PBE calculation of ZnInSb2 after structural relaxation, from OQMD.

Summary:
space group = F-43m
uncorrected energy = -11.49 eV for the cell shown

a = 5.231 Å, b = 5.231 Å, c = 5.231 Å
α = 60.00°, β = 60.00°, γ = 60.00°
Positions (direct):
Zn (0.000, 0.000, 0.000)
In (0.750, 0.750, 0.750)
Sb (0.250, 0.250, 0.250)
Sb (0.500, 0.500, 0.500)



8.
The following is a GGA-PBE calculation of TmScInSe3 after structural relaxation, from OQMD.

Summary:
E above lowest polymorph = 22 meV/atom
space group = Cmcm

a = 8.184 Å, b = 8.184 Å, c = 10.568 Å
α = 90.00°, β = 90.00°, γ = 152.11°
Positions (direct):
Tm (0.128, 0.872, 0.750)
Tm (0.872, 0.128, 0.250)
Sc (0.500, 0.500, 0.000)
Sc (0.500, 0.500, 0.500)
In (0.212, 0.788, 0.250)
In (0.788, 0.212, 0.750)
Se (0.120, 0.880, 0.014)
Se (0.120, 0.880, 0.486)
Se (0.491, 0.509, 0.250)
Se (0.509, 0.491, 0.750)
Se (0.880, 0.120, 0.514)
Se (0.880, 0.120, 0.986)